Record 1
The following is a GGA-PBE calculation of CdFeGeS3 after structural relaxation, from OQMD via LeMat-Bulk.

Results
The crystal system is orthorhombic. The value obtained for the calculated total energy is -4.639 eV per atom. The spin magnetization is 0.2 μB/f.u. The value obtained for the energy above the most stable polymorph in this dataset is 0.0 meV/atom. The mass density comes out at 4.856 Mg/m³.

Cell: 7.7893 7.7893 8.7825 Å, 90.00 90.00 154.37°
Last column: nearest neighbours and their distance in Å.
Element x y z (fractional)
1 Cd 0.2033 0.7967 0.7500  2 S 2.56, 2 Ge 2.85
2 Cd 0.7967 0.2033 0.2500  2 S 2.56, 2 Ge 2.85
3 Fe 0.5000 0.5000 0.0000  6 S 2.27-2.29
4 Fe 0.5000 0.5000 0.5000  6 S 2.27-2.29
5 Ge 0.1473 0.8527 0.2500  4 S 2.41-2.51
6 Ge 0.8527 0.1473 0.7500  4 S 2.41-2.51
7 S 0.0980 0.9020 0.5230  2 Fe 2.29, 1 Ge 2.51, 1 Cd 2.56
8 S 0.0980 0.9020 0.9770  2 Fe 2.29, 1 Ge 2.51, 1 Cd 2.56
9 S 0.4628 0.5372 0.7500  2 Fe 2.27, 2 Ge 2.41
10 S 0.5372 0.4628 0.2500  2 Fe 2.27, 2 Ge 2.41
11 S 0.9020 0.0980 0.0230  2 Fe 2.29, 1 Ge 2.51, 1 Cd 2.56
12 S 0.9020 0.0980 0.4770  2 Fe 2.29, 1 Ge 2.51, 1 Cd 2.56

---

Record 2
The following is a GGA-PBE calculation of NaAg3Te4Pb after structural relaxation, from OQMD via LeMat-Bulk.

Results
The crystal system is cubic. The value obtained for the calculated total energy is -2.975 eV per atom. The mass density comes out at 5.681 Mg/m³.

Cell: 6.7755 6.7755 6.7755 Å, 90.00 90.00 90.00°
Last column: nearest neighbours and their distance in Å.
Element x y z (fractional)
1 Na 0.0000 0.0000 0.0000  4 Te 2.94
2 Ag 0.0000 0.5000 0.5000  4 Te 2.93
3 Ag 0.5000 0.0000 0.5000  4 Te 2.93
4 Ag 0.5000 0.5000 0.0000  4 Te 2.93
5 Te 0.2503 0.2503 0.2503  1 Pb 2.93, 3 Ag 2.93, 1 Na 2.94
6 Te 0.2503 0.7497 0.7497  1 Pb 2.93, 3 Ag 2.93, 1 Na 2.94
7 Te 0.7497 0.2503 0.7497  1 Pb 2.93, 3 Ag 2.93, 1 Na 2.94
8 Te 0.7497 0.7497 0.2503  1 Pb 2.93, 3 Ag 2.93, 1 Na 2.94
9 Pb 0.5000 0.5000 0.5000  4 Te 2.93

---

Record 3
The following is a GGA-PBE calculation of BaLiDySe3 after structural relaxation, from OQMD via LeMat-Bulk.

Results
The crystal system is monoclinic. The value obtained for the calculated total energy is -4.964 eV per atom. The spin magnetization is 0.0 μB/f.u. The value obtained for the energy above the most stable polymorph in this dataset is 16.8 meV/atom. The mass density comes out at 5.482 Mg/m³.

Cell: 9.2167 9.2167 8.9187 Å, 103.65 103.65 26.62°
Last column: nearest neighbours and their distance in Å.
Element x y z (fractional)
1 Ba 0.1362 0.1362 0.0656  7 Se 3.18-3.38
2 Ba 0.8638 0.8638 0.9344  7 Se 3.18-3.38
3 Li 0.4949 0.4949 0.3018  5 Se 2.72-3.03
4 Li 0.5051 0.5051 0.6982  5 Se 2.72-3.03
5 Dy 0.1649 0.1649 0.5823  6 Se 2.86-2.91
6 Dy 0.8351 0.8351 0.4177  6 Se 2.86-2.91
7 Se 0.0000 0.0000 0.5000  4 Li 2.75, 2 Dy 2.87
8 Se 0.3292 0.3292 0.2000  2 Dy 2.86, 1 Li 2.89
9 Se 0.3315 0.3315 0.6365  3 Dy 2.89-2.91, 1 Li 3.03
10 Se 0.5000 0.5000 0.0000  2 Li 2.72
11 Se 0.6685 0.6685 0.3635  3 Dy 2.89-2.91, 1 Li 3.03
12 Se 0.6708 0.6708 0.8000  2 Dy 2.86, 1 Li 2.89

---

Record 4
The following is a GGA-PBE calculation of Dy2GeO5 after structural relaxation, from OQMD via LeMat-Bulk.

Results
The crystal system is monoclinic. The value obtained for the calculated total energy is -7.744 eV per atom. The spin magnetization is 0.0 μB/f.u. The value obtained for the energy above the most stable polymorph in this dataset is 11.7 meV/atom. The mass density comes out at 7.564 Mg/m³.

Cell: 9.2165 6.9959 6.7210 Å, 90.00 104.57 90.00°
Last column: nearest neighbours and their distance in Å.
Element x y z (fractional)
1 Dy 0.0268 0.1273 0.2298  6 O 2.22-2.48
2 Dy 0.0268 0.3727 0.7298  6 O 2.22-2.48
3 Dy 0.3639 0.1364 0.0365  7 O 2.25-2.44
4 Dy 0.3639 0.3636 0.5365  7 O 2.25-2.44
5 Dy 0.6361 0.6364 0.4635  7 O 2.25-2.44
6 Dy 0.6361 0.8636 0.9635  7 O 2.25-2.44
7 Dy 0.9732 0.6273 0.2702  6 O 2.22-2.48
8 Dy 0.9732 0.8727 0.7702  6 O 2.22-2.48
9 Ge 0.3029 0.5935 0.0227  4 O 1.72-1.81
10 Ge 0.3029 0.9065 0.5227  4 O 1.72-1.81
11 Ge 0.6971 0.0935 0.4773  4 O 1.72-1.81
12 Ge 0.6971 0.4065 0.9773  4 O 1.72-1.81
13 O 0.1074 0.6367 0.9942  1 Ge 1.79
14 O 0.1074 0.8633 0.4942  1 Ge 1.79
15 O 0.1102 0.1156 0.9287  4 Dy 2.22-2.34
16 O 0.1102 0.3844 0.4287  4 Dy 2.22-2.34
17 O 0.2832 0.0833 0.3211  1 Ge 1.81
18 O 0.2832 0.4167 0.8211  1 Ge 1.81
19 O 0.3883 0.6964 0.4819  1 Ge 1.72
20 O 0.3883 0.8036 0.9819  1 Ge 1.72
21 O 0.3964 0.0658 0.7151  1 Ge 1.76
22 O 0.3964 0.4342 0.2151  1 Ge 1.76
23 O 0.6036 0.5658 0.7849  1 Ge 1.76
24 O 0.6036 0.9342 0.2849  1 Ge 1.76
25 O 0.6117 0.1964 0.0181  1 Ge 1.72
26 O 0.6117 0.3036 0.5181  1 Ge 1.72
27 O 0.7168 0.5833 0.1789  1 Ge 1.81
28 O 0.7168 0.9167 0.6789  1 Ge 1.81
29 O 0.8898 0.6156 0.5713  4 Dy 2.22-2.34
30 O 0.8898 0.8844 0.0713  4 Dy 2.22-2.34
31 O 0.8926 0.1367 0.5058  1 Ge 1.79
32 O 0.8926 0.3633 0.0058  1 Ge 1.79

---

Record 5
The following is a GGA-PBE calculation of KRbPt2N4 after structural relaxation, from OQMD via LeMat-Bulk.

Results
The crystal system is orthorhombic. The value obtained for the calculated total energy is -5.262 eV per atom. The spin magnetization is 0.0 μB/f.u. The mass density comes out at 5.586 Mg/m³.

Cell: 5.9449 6.4583 6.4583 Å, 43.18 90.00 90.00°
Last column: nearest neighbours and their distance in Å.
Element x y z (fractional)
1 K 0.0000 0.0000 0.0000  6 N 2.81-2.99
2 Rb 0.5000 0.3906 0.3906  6 N 2.84-2.98
3 Pt 0.0000 0.7027 0.7027  4 N 1.94-1.98
4 Pt 0.5000 0.6893 0.6893  4 N 1.94-2.00
5 N 0.2434 0.5901 0.5901  2 Pt 1.94-1.98
6 N 0.2549 0.8029 0.8029  2 Pt 1.94-2.00
7 N 0.7451 0.8029 0.8029  2 Pt 1.94-2.00
8 N 0.7566 0.5901 0.5901  2 Pt 1.94-1.98

---

Record 6
The following is a GGA-PBE calculation of SrInPt after structural relaxation, from OQMD via LeMat-Bulk.

Results
The crystal system is hexagonal. The value obtained for the calculated total energy is -4.177 eV per atom. The spin magnetization is 0.0 μB/f.u. The mass density comes out at 8.430 Mg/m³.

Cell: 4.7340 4.7340 8.0696 Å, 90.00 90.00 120.00°
Last column: nearest neighbours and their distance in Å.
Element x y z (fractional)
1 Sr 0.0000 0.0000 0.0000  6 Pt 3.39-3.41, 6 In 3.40
2 Sr 0.0000 0.0000 0.5000  6 Pt 3.39-3.41, 6 In 3.40
3 In 0.3333 0.6667 0.2504  3 Pt 2.73
4 In 0.6667 0.3333 0.7504  3 Pt 2.73
5 Pt 0.3333 0.6667 0.7482  3 In 2.73
6 Pt 0.6667 0.3333 0.2482  3 In 2.73

---

Record 7
The following is a GGA-PBE calculation of La2GdSn3Pb4 after structural relaxation, from OQMD via LeMat-Bulk.

Results
The crystal system is orthorhombic. The value obtained for the calculated total energy is -4.643 eV per atom. The spin magnetization is 0.0 μB/f.u. The value obtained for the energy above the most stable polymorph in this dataset is 9.2 meV/atom. The mass density comes out at 9.228 Mg/m³.

Cell: 13.2730 13.2730 4.7928 Å, 90.00 90.00 159.80°
Last column: nearest neighbours and their distance in Å.
Element x y z (fractional)
1 La 0.1842 0.8158 0.0000  2 Sn 3.36, 8 Pb 3.37-3.71
2 La 0.8158 0.1842 0.0000  2 Sn 3.36, 8 Pb 3.37-3.71
3 Gd 0.0000 0.0000 0.0000  8 Sn 3.33-3.34, 4 Pb 3.42
4 Sn 0.4086 0.5914 0.0000  2 Gd 3.33, 4 Pb 3.34, 2 La 3.36, 2 Sn 3.38
5 Sn 0.5000 0.5000 0.5000  4 Gd 3.34, 4 Pb 3.37, 4 Sn 3.38
6 Sn 0.5914 0.4086 0.0000  2 Gd 3.33, 4 Pb 3.34, 2 La 3.36, 2 Sn 3.38
7 Pb 0.0934 0.9066 0.5000  6 Sn 3.34-3.37, 2 La 3.37, 2 Gd 3.42
8 Pb 0.2926 0.7074 0.5000  2 Pb 3.22, 4 La 3.40
9 Pb 0.7074 0.2926 0.5000  2 Pb 3.22, 4 La 3.40
10 Pb 0.9066 0.0934 0.5000  6 Sn 3.34-3.37, 2 La 3.37, 2 Gd 3.42

---

Record 8
The following is a GGA-PBE calculation of PmAgSO after structural relaxation, from OQMD via LeMat-Bulk.

Results
The crystal system is orthorhombic. The value obtained for the calculated total energy is -6.097 eV per atom. The spin magnetization is 0.0 μB/f.u. The value obtained for the energy above the most stable polymorph in this dataset is 3.1 meV/atom. The mass density comes out at 6.890 Mg/m³.

Cell: 5.6060 5.6252 9.2003 Å, 90.00 90.00 90.00°
Last column: nearest neighbours and their distance in Å.
Element x y z (fractional)
1 Pm 0.0000 0.0000 0.0000  4 O 2.30-2.31
2 Pm 0.0000 0.5000 0.2585  4 O 2.32-2.33
3 Pm 0.5000 0.0000 0.2585  4 O 2.32-2.33
4 Pm 0.5000 0.5000 0.0000  4 O 2.30-2.31
5 Ag 0.1996 0.1772 0.6362  3 S 2.51-2.75
6 Ag 0.3004 0.6772 0.6362  3 S 2.51-2.75
7 Ag 0.6996 0.3228 0.6362  3 S 2.51-2.75
8 Ag 0.8004 0.8228 0.6362  3 S 2.51-2.75
9 S 0.0000 0.0000 0.4169  2 Ag 2.51
10 S 0.0000 0.5000 0.8247  4 Ag 2.61-2.75
11 S 0.5000 0.0000 0.8247  4 Ag 2.61-2.75
12 S 0.5000 0.5000 0.4169  2 Ag 2.51
13 O 0.2496 0.2493 0.1267  4 Pm 2.30-2.33
14 O 0.2504 0.7493 0.1267  4 Pm 2.30-2.33
15 O 0.7496 0.2507 0.1267  4 Pm 2.30-2.33
16 O 0.7504 0.7507 0.1267  4 Pm 2.30-2.33

---

Record 9
The following is a GGA-PBE calculation of Re3Br2 after structural relaxation, from OQMD via LeMat-Bulk.

Results
The crystal system is trigonal. The value obtained for the calculated total energy is -6.326 eV per atom. The spin magnetization is 0.0 μB/f.u. The mass density comes out at 14.264 Mg/m³.

Cell: 5.5910 5.5910 5.5910 Å, 79.73 79.73 79.73°
Last column: nearest neighbours and their distance in Å.
Element x y z (fractional)
1 Re 0.0831 0.4169 0.7500  2 Br 2.44
2 Re 0.2500 0.9169 0.5831  2 Br 2.44
3 Re 0.4169 0.7500 0.0831  2 Br 2.44
4 Re 0.5831 0.2500 0.9169  2 Br 2.44
5 Re 0.7500 0.0831 0.4169  2 Br 2.44
6 Re 0.9169 0.5831 0.2500  2 Br 2.44
7 Br 0.1258 0.1258 0.1258  3 Re 2.44
8 Br 0.3742 0.3742 0.3742  3 Re 2.44
9 Br 0.6258 0.6258 0.6258  3 Re 2.44
10 Br 0.8742 0.8742 0.8742  3 Re 2.44

---

Record 10
The following is a GGA-PBE calculation of LuAlAs after structural relaxation, from OQMD via LeMat-Bulk.

Results
The crystal system is cubic. The value obtained for the calculated total energy is -4.408 eV per atom. The spin magnetization is 0.0 μB/f.u. The mass density comes out at 6.090 Mg/m³.

Cell: 4.7440 4.7440 4.7440 Å, 60.00 60.00 60.00°
Last column: nearest neighbours and their distance in Å.
Element x y z (fractional)
1 Lu 0.0000 0.0000 0.0000  4 Al 2.91, 4 As 2.91
2 Al 0.7500 0.7500 0.7500  4 Lu 2.91
3 As 0.2500 0.2500 0.2500  4 Lu 2.91

---

Record 11
The following is a GGA-PBE calculation of BaAg6P2 after structural relaxation, from OQMD via LeMat-Bulk.

Results
The crystal system is tetragonal. The value obtained for the calculated total energy is -3.520 eV per atom. The mass density comes out at 7.791 Mg/m³.

Cell: 4.4036 4.4036 9.3036 Å, 90.00 90.00 90.00°
Last column: nearest neighbours and their distance in Å.
Element x y z (fractional)
1 Ba 0.0000 0.0000 0.0000  8 P 3.33, 8 Ag 3.50
2 Ag 0.0000 0.0000 0.5000  12 Ag 2.93-3.11
3 Ag 0.0000 0.5000 0.2924  2 P 2.68, 4 Ag 2.93
4 Ag 0.0000 0.5000 0.7076  2 P 2.68, 4 Ag 2.93
5 Ag 0.5000 0.0000 0.2924  2 P 2.68, 4 Ag 2.93
6 Ag 0.5000 0.0000 0.7076  2 P 2.68, 4 Ag 2.93
7 Ag 0.5000 0.5000 0.5000  12 Ag 2.93-3.11
8 P 0.5000 0.5000 0.1277  1 P 2.38
9 P 0.5000 0.5000 0.8723  1 P 2.38